Below is Cd2P after structural relaxation, with properties calculated at the PBE level.

It has space group P-3m1 (No. 164), with a = 4.1772 Å, b = 4.1772 Å, c = 4.4743 Å, α = 90.00°, β = 90.00° and γ = 120.00°. The inequivalent atoms are Cd at (0.3333, 0.6667, 0.2191) and P at (0.0000, 0.0000, 0.5000).

As for the formation energy: 0.147 eV per atom. The value obtained for the energy above the most stable polymorph in this dataset is 58 meV per atom. The calculation puts the theoretical density at 6.3 g/cm3.

Below is Si2PRu after structural relaxation, with properties calculated at the PBE level.

It has space group Pmmm (No. 47), with a = 3.055 Å, b = 3.946 Å, c = 4.666 Å, α = 90.00°, β = 90.00° and γ = 90.00°. The inequivalent atoms are Si at (0.000, 0.000, 0.000), Si at (0.500, 0.000, 0.500), P at (0.000, 0.500, 0.500) and Ru at (0.500, 0.500, 0.000).

As for the uncorrected formation energy: 0.29 eV/atom. The calculation puts the theoretical density at 5.6 g/cm3.